Entry from the Alexandria database: crystalline V2TcClF at its relaxed geometry (PBE with a Hubbard U).

Crystal system: tetragonal
Spin magnetization in μB per cell: 5.00
E in eV/cell: -24.36

Lattice parameters (Å, degrees): 4.8180 4.3377 4.8180 90.00 90.00 90.00
Last column: nearest neighbours and their distance in Å.
Positions (direct):
V (0.0000, 0.0000, 0.5000)  2 Cl 2.41
V (0.5000, 0.0000, 0.0000)  2 Cl 2.41
Cl (0.0000, 0.0000, 0.0000)  2 Tc 2.17, 4 V 2.41
Tc (0.0000, 0.5000, 0.0000)  2 Cl 2.17
F (0.5000, 0.5000, 0.5000)  8 V 3.24, 4 Tc 3.41